Entry 1:
VASP calculation (PBE) on crystalline BaIn4Ag3 at its relaxed geometry.

It has space group P4/mmm (No. 123), with a = 4.757 Å, b = 4.757 Å, c = 9.393 Å, α = 90.00°, β = 90.00° and γ = 90.00°. The asymmetric unit holds Ba at (0.000, 0.000, 0.000), In at (0.000, 0.500, 0.326), Ag at (0.000, 0.000, 0.500) and Ag at (0.500, 0.500, 0.148).

As for the total moment: 0.0 μB per cell. The formation energy is -197 meV/atom. Its electronic total energy is -23.0 eV/cell. As for the calculated density: 7.19 g cm⁻³.


Entry 2:
VASP calculation (PBE) on crystalline BaIn3Ag3 at its relaxed geometry.

It has space group R-3 (No. 148, hexagonal axes), with a = 9.0316 Å, b = 9.0316 Å, c = 16.5520 Å, α = 90.00°, β = 90.00° and γ = 120.00°. The asymmetric unit holds Ba at (0.0000, 0.0000, 0.1747), In at (0.0120, 0.3598, 0.2947) and Ag at (0.0033, 0.2614, 0.4528).

As for the total moment: 0.0 μB per cell. The calculation puts the excess energy over the best structure of this formula in the dataset at 0.000 eV/atom. The formation energy is -155 meV/atom. Its electronic total energy is -118.7 eV/cell. As for the calculated density: 6.86 g cm⁻³.


Entry 3:
VASP calculation (PBE) on crystalline BaIn4Ag at its relaxed geometry.

It has space group F-43m (No. 216), with a = 8.898 Å, b = 8.898 Å, c = 8.898 Å, α = 90.00°, β = 90.00° and γ = 90.00°. The asymmetric unit holds Ba at (0.000, 0.000, 0.000), In at (0.125, 0.125, 0.625) and Ag at (0.250, 0.250, 0.250).

As for the total moment: 0.0 μB per cell. The formation energy is -69 meV/atom. Its electronic total energy is -64.6 eV/cell. As for the calculated density: 6.64 g cm⁻³.


Entry 4:
VASP calculation (PBE) on crystalline Ba4InAg at its relaxed geometry.

It has space group P4/mmm (No. 123), with a = 4.251 Å, b = 4.251 Å, c = 15.295 Å, α = 90.00°, β = 90.00° and γ = 90.00°. The asymmetric unit holds Ba at (0.000, 0.000, 0.127), Ba at (0.500, 0.500, 0.366), In at (0.000, 0.000, 0.500) and Ag at (0.500, 0.500, 0.000).

As for the total moment: 0.0 μB per cell. The calculation puts the excess energy over the best structure of this formula in the dataset at 0.000 eV/atom. The formation energy is -225 meV/atom. Its electronic total energy is -14.6 eV/cell. As for the calculated density: 4.64 g cm⁻³.


Entry 5:
VASP calculation (PBE) on crystalline BaIn2Ag4 at its relaxed geometry.

It has space group I4/mmm (No. 139), with a = 8.257 Å, b = 8.257 Å, c = 6.476 Å, α = 90.00°, β = 90.00° and γ = 90.00°. The asymmetric unit holds Ba at (0.000, 0.000, 0.000), In at (0.000, 0.500, 0.250) and Ag at (0.000, 0.230, 0.500).

As for the total moment: 0.0 μB per cell. The calculation puts the excess energy over the best structure of this formula in the dataset at 0.256 eV/atom. The formation energy is 60 meV/atom. Its electronic total energy is -36.8 eV/cell. As for the calculated density: 6.01 g cm⁻³.


Entry 6:
VASP calculation (PBE) on crystalline Ba6In2Ag at its relaxed geometry.

It has space group P2_1/c (No. 14), with a = 7.999 Å, b = 9.384 Å, c = 14.205 Å, α = 90.00°, β = 122.96° and γ = 90.00°. The asymmetric unit holds Ba at (0.103, 0.176, 0.436), Ba at (0.276, 0.677, 0.431), Ba at (0.388, 0.037, 0.260), In at (0.199, 0.113, 0.746) and Ag at (0.000, 0.000, 0.000).

As for the total moment: 2.0 μB per cell. The calculation puts the excess energy over the best structure of this formula in the dataset at 0.000 eV/atom. The formation energy is -205 meV/atom. Its electronic total energy is -43.4 eV/cell. As for the calculated density: 4.31 g cm⁻³.